# AcPrYTe3 | the Alexandria database | PBE | relaxed
data_AcPrYTe3
_cell_length_a 8.7972
_cell_length_b 4.6201
_cell_length_c 10.7616
_cell_angle_alpha 90.00
_cell_angle_beta 110.21
_cell_angle_gamma 90.00
_space_group_name_H-M_alt 'P 1 21/m 1'
_space_group_IT_number 11
loop_
_space_group_symop_operation_xyz
'x,y,z'
'-x,-y,-z'
'-x,y+1/2,-z'
'x,-y+1/2,z'
loop_
_atom_site_label
_atom_site_type_symbol
_atom_site_fract_x
_atom_site_fract_y
_atom_site_fract_z
_atom_site_occupancy
Ac1 Ac 0.1836 0.2500 0.2315 1
Pr1 Pr 0.3593 0.7500 0.8821 1
Y1 Y 0.1410 0.2500 0.6200 1
Te1 Te 0.1073 0.2500 0.8973 1
Te2 Te 0.2379 0.7500 0.4792 1
Te3 Te 0.4570 0.7500 0.2088 1
# Electronic total energy in eV/f.u.: -32.62
# Formation energy from raw total energies in eV per formula unit: -7.85
# DOS(E_F) in states/eV/atom: 0.7260
# Crystal system: monoclinic